Record 1
## PmYZnOs (PBE-GGA)

Data for a relaxed structure of PmYZnOs.

Output
Total moment: 0.000 μB/f.u.
Energy of formation from the pure elements: -197.5 meV per atom
Theoretical density: 9.29 g/cm³

Cell lengths 7.0473, 7.0473, 7.0473 Å; angles 90.00, 90.00, 90.00 degrees
Element x y z (fractional)
1 Pm 0.0000 0.0000 0.0000
2 Pm 0.0000 0.5000 0.5000
3 Pm 0.5000 0.0000 0.5000
4 Pm 0.5000 0.5000 0.0000
5 Y 0.0000 0.0000 0.5000
6 Y 0.0000 0.5000 0.0000
7 Y 0.5000 0.0000 0.0000
8 Y 0.5000 0.5000 0.5000
9 Zn 0.2500 0.2500 0.2500
10 Zn 0.2500 0.7500 0.7500
11 Zn 0.7500 0.2500 0.7500
12 Zn 0.7500 0.7500 0.2500
13 Os 0.2500 0.2500 0.7500
14 Os 0.2500 0.7500 0.2500
15 Os 0.7500 0.2500 0.2500
16 Os 0.7500 0.7500 0.7500

***

Record 2
## PmZn4Os (PBE-GGA)

Data for a relaxed structure of PmZn4Os.

Output
Total moment: 0.000 μB/f.u.
Energy of formation from the pure elements: -125.4 meV per atom
Theoretical density: 10.14 g/cm³

Cell lengths 5.1710, 5.1710, 5.1710 Å; angles 60.00, 60.00, 60.00 degrees
Element x y z (fractional)
1 Pm 0.0000 0.0000 0.0000
2 Zn 0.3767 0.3767 0.3767
3 Zn 0.3767 0.3767 0.8698
4 Zn 0.3767 0.8698 0.3767
5 Zn 0.8698 0.3767 0.3767
6 Os 0.7500 0.7500 0.7500

***

What did the second record say?
## PmZn4Os (PBE-GGA)

Data for a relaxed structure of PmZn4Os.

Output
Total moment: 0.000 μB/f.u.
Energy of formation from the pure elements: -125.4 meV per atom
Theoretical density: 10.14 g/cm³

Cell lengths 5.1710, 5.1710, 5.1710 Å; angles 60.00, 60.00, 60.00 degrees
Element x y z (fractional)
1 Pm 0.0000 0.0000 0.0000
2 Zn 0.3767 0.3767 0.3767
3 Zn 0.3767 0.3767 0.8698
4 Zn 0.3767 0.8698 0.3767
5 Zn 0.8698 0.3767 0.3767
6 Os 0.7500 0.7500 0.7500

***

Copy entry 2 word for word.
## PmZn4Os (PBE-GGA)

Data for a relaxed structure of PmZn4Os.

Output
Total moment: 0.000 μB/f.u.
Energy of formation from the pure elements: -125.4 meV per atom
Theoretical density: 10.14 g/cm³

Cell lengths 5.1710, 5.1710, 5.1710 Å; angles 60.00, 60.00, 60.00 degrees
Element x y z (fractional)
1 Pm 0.0000 0.0000 0.0000
2 Zn 0.3767 0.3767 0.3767
3 Zn 0.3767 0.3767 0.8698
4 Zn 0.3767 0.8698 0.3767
5 Zn 0.8698 0.3767 0.3767
6 Os 0.7500 0.7500 0.7500

***

> What is the formula in the first record?

PmYZnOs

***

Please write out number 2 again, unchanged.
## PmZn4Os (PBE-GGA)

Data for a relaxed structure of PmZn4Os.

Output
Total moment: 0.000 μB/f.u.
Energy of formation from the pure elements: -125.4 meV per atom
Theoretical density: 10.14 g/cm³

Cell lengths 5.1710, 5.1710, 5.1710 Å; angles 60.00, 60.00, 60.00 degrees
Element x y z (fractional)
1 Pm 0.0000 0.0000 0.0000
2 Zn 0.3767 0.3767 0.3767
3 Zn 0.3767 0.3767 0.8698
4 Zn 0.3767 0.8698 0.3767
5 Zn 0.8698 0.3767 0.3767
6 Os 0.7500 0.7500 0.7500